Below is a relaxed Ta2TlB crystal, with properties calculated at the PBE-GGA level.

Calculated values
Its total energy is -8.444 eV per atom. Its total moment is 0.00 μB/cell. The space-group type is P6_3/mmc, No. 194.

The structure in CIF format:
```
data_Ta2TlB
_symmetry_space_group_name_H-M 'P 1'
_symmetry_Int_Tables_number 1
_symmetry_space_group_name_Hall 'P 1'
_cell_length_a 3.2462
_cell_length_b 3.2462
_cell_length_c 14.6668
_cell_angle_alpha 90.00
_cell_angle_beta 90.00
_cell_angle_gamma 120.00
loop_
_atom_site_label
_atom_site_fract_x
_atom_site_fract_y
_atom_site_fract_z
_atom_site_occupancy
Ta1 0.6667 0.3333 0.9163 1
Ta2 0.3333 0.6667 0.0837 1
Ta3 0.6667 0.3333 0.5837 1
Ta4 0.3333 0.6667 0.4163 1
Tl1 0.3333 0.6667 0.7500 1
Tl2 0.6667 0.3333 0.2500 1
B1 0.0000 0.0000 0.0000 1
B2 0.0000 0.0000 0.5000 1
```

***

Below is a relaxed TaTlB4 crystal, with properties calculated at the PBE-GGA level.

Calculated values
Its total energy is -6.943 eV per atom. Its total moment is 0.00 μB/cell. The space-group type is P6/mmm, No. 191.

The structure in CIF format:
```
data_TaTlB4
_symmetry_space_group_name_H-M 'P 1'
_symmetry_Int_Tables_number 1
_symmetry_space_group_name_Hall 'P 1'
_cell_length_a 3.0862
_cell_length_b 3.0862
_cell_length_c 8.5615
_cell_angle_alpha 90.00
_cell_angle_beta 90.00
_cell_angle_gamma 120.00
loop_
_atom_site_label
_atom_site_fract_x
_atom_site_fract_y
_atom_site_fract_z
_atom_site_occupancy
B1 0.6667 0.3333 0.3082 1
B2 0.3333 0.6667 0.3082 1
B3 0.6667 0.3333 0.6918 1
B4 0.3333 0.6667 0.6918 1
Ta1 0.0000 0.0000 0.5000 1
Tl1 0.0000 0.0000 0.0000 1
```

***

Below is a relaxed TaTlB crystal, with properties calculated at the PBE-GGA level.

Calculated values
Its total energy is -5.890 eV per atom. Its total moment is 0.10 μB/cell. The space-group type is F-43m, No. 216.

The structure in CIF format:
```
data_TaTlB
_symmetry_space_group_name_H-M 'P 1'
_symmetry_Int_Tables_number 1
_symmetry_space_group_name_Hall 'P 1'
_cell_length_a 4.1179
_cell_length_b 4.1179
_cell_length_c 4.1179
_cell_angle_alpha 60.00
_cell_angle_beta 60.00
_cell_angle_gamma 60.00
loop_
_atom_site_label
_atom_site_fract_x
_atom_site_fract_y
_atom_site_fract_z
_atom_site_occupancy
B1 0.0000 0.0000 0.0000 1
Tl1 0.7500 0.7500 0.7500 1
Ta1 0.2500 0.2500 0.2500 1
```

***

Below is a relaxed TaTlB crystal, with properties calculated at the PBE-GGA level.

Calculated values
Its total energy is -5.354 eV per atom. Its total moment is 0.00 μB/cell. The space-group type is F-43m, No. 216.

The structure in CIF format:
```
data_TaTlB
_symmetry_space_group_name_H-M 'P 1'
_symmetry_Int_Tables_number 1
_symmetry_space_group_name_Hall 'P 1'
_cell_length_a 4.3709
_cell_length_b 4.3709
_cell_length_c 4.3709
_cell_angle_alpha 60.00
_cell_angle_beta 60.00
_cell_angle_gamma 60.00
loop_
_atom_site_label
_atom_site_fract_x
_atom_site_fract_y
_atom_site_fract_z
_atom_site_occupancy
B1 0.5000 0.5000 0.5000 1
Tl1 0.0000 0.0000 0.0000 1
Ta1 0.2500 0.2500 0.2500 1
```

***

Below is a relaxed TaTl2B crystal, with properties calculated at the PBE-GGA level.

Calculated values
Its total energy is -4.684 eV per atom. Its total moment is 0.01 μB/cell. The space-group type is C2/m, No. 12.

The structure in CIF format:
```
data_TaTl2B
_symmetry_space_group_name_H-M 'P 1'
_symmetry_Int_Tables_number 1
_symmetry_space_group_name_Hall 'P 1'
_cell_length_a 8.6958
_cell_length_b 8.6958
_cell_length_c 5.5828
_cell_angle_alpha 96.17
_cell_angle_beta 96.17
_cell_angle_gamma 21.12
loop_
_atom_site_label
_atom_site_fract_x
_atom_site_fract_y
_atom_site_fract_z
_atom_site_occupancy
B1 0.7496 0.7496 0.2466 1
B2 0.2504 0.2504 0.7534 1
Tl1 0.6434 0.6434 0.8832 1
Tl2 0.3566 0.3566 0.1168 1
Tl3 0.1439 0.1439 0.3841 1
Tl4 0.8561 0.8561 0.6159 1
Ta1 0.5000 0.5000 0.5000 1
Ta2 0.0000 0.0000 0.0000 1
```

***

Below is a relaxed TaTlB4 crystal, with properties calculated at the PBE-GGA level.

Calculated values
Its total energy is -6.450 eV per atom. Its total moment is 0.00 μB/cell. The space-group type is Immm, No. 71.

The structure in CIF format:
```
data_TaTlB4
_symmetry_space_group_name_H-M 'P 1'
_symmetry_Int_Tables_number 1
_symmetry_space_group_name_Hall 'P 1'
_cell_length_a 4.9846
_cell_length_b 4.9846
_cell_length_c 4.9846
_cell_angle_alpha 143.87
_cell_angle_beta 115.99
_cell_angle_gamma 75.76
loop_
_atom_site_label
_atom_site_fract_x
_atom_site_fract_y
_atom_site_fract_z
_atom_site_occupancy
B1 0.5892 0.2543 0.3349 1
B2 0.4108 0.7457 0.6651 1
B3 0.0806 0.7457 0.3349 1
B4 0.9194 0.2543 0.6651 1
Ta1 0.0000 0.0000 0.0000 1
Tl1 0.5000 0.5000 0.0000 1
```

***

Below is a relaxed TmTaB crystal, with properties calculated at the PBE-GGA level.

Calculated values
Its total energy is -7.419 eV per atom. Its total moment is 0.00 μB/cell. The space-group type is F-43m, No. 216.

The structure in CIF format:
```
data_TmTaB
_symmetry_space_group_name_H-M 'P 1'
_symmetry_Int_Tables_number 1
_symmetry_space_group_name_Hall 'P 1'
_cell_length_a 4.1701
_cell_length_b 4.1701
_cell_length_c 4.1701
_cell_angle_alpha 60.00
_cell_angle_beta 60.00
_cell_angle_gamma 60.00
loop_
_atom_site_label
_atom_site_fract_x
_atom_site_fract_y
_atom_site_fract_z
_atom_site_occupancy
B1 0.0000 0.0000 0.0000 1
Tm1 0.7500 0.7500 0.7500 1
Ta1 0.2500 0.2500 0.2500 1
```

***

Below is a relaxed TmTaB crystal, with properties calculated at the PBE-GGA level.

Calculated values
Its total energy is -5.693 eV per atom. Its total moment is 2.72 μB/cell. The space-group type is F-43m, No. 216.

The structure in CIF format:
```
data_TmTaB
_symmetry_space_group_name_H-M 'P 1'
_symmetry_Int_Tables_number 1
_symmetry_space_group_name_Hall 'P 1'
_cell_length_a 4.4751
_cell_length_b 4.4751
_cell_length_c 4.4751
_cell_angle_alpha 60.00
_cell_angle_beta 60.00
_cell_angle_gamma 60.00
loop_
_atom_site_label
_atom_site_fract_x
_atom_site_fract_y
_atom_site_fract_z
_atom_site_occupancy
B1 0.2500 0.2500 0.2500 1
Ta1 0.7500 0.7500 0.7500 1
Tm1 0.0000 0.0000 0.0000 1
```

***

Below is a relaxed TmTaB4 crystal, with properties calculated at the PBE-GGA level.

Calculated values
Its total energy is -7.962 eV per atom. Its total moment is 0.00 μB/cell. The space-group type is P6/mmm, No. 191.

The structure in CIF format:
```
data_TmTaB4
_symmetry_space_group_name_H-M 'P 1'
_symmetry_Int_Tables_number 1
_symmetry_space_group_name_Hall 'P 1'
_cell_length_a 3.1323
_cell_length_b 3.1323
_cell_length_c 7.1424
_cell_angle_alpha 90.00
_cell_angle_beta 90.00
_cell_angle_gamma 120.00
loop_
_atom_site_label
_atom_site_fract_x
_atom_site_fract_y
_atom_site_fract_z
_atom_site_occupancy
B1 0.3333 0.6667 0.2327 1
B2 0.3333 0.6667 0.7673 1
B3 0.6667 0.3333 0.7673 1
B4 0.6667 0.3333 0.2327 1
Tm1 0.0000 0.0000 0.5000 1
Ta1 0.0000 0.0000 0.0000 1
```

***

Below is a relaxed UTaB crystal, with properties calculated at the PBE-GGA level.

Calculated values
Its total energy is -9.511 eV per atom. Its total moment is 0.79 μB/cell. The space-group type is F-43m, No. 216.

The structure in CIF format:
```
data_UTaB
_symmetry_space_group_name_H-M 'P 1'
_symmetry_Int_Tables_number 1
_symmetry_space_group_name_Hall 'P 1'
_cell_length_a 4.1590
_cell_length_b 4.1590
_cell_length_c 4.1590
_cell_angle_alpha 60.00
_cell_angle_beta 60.00
_cell_angle_gamma 60.00
loop_
_atom_site_label
_atom_site_fract_x
_atom_site_fract_y
_atom_site_fract_z
_atom_site_occupancy
B1 0.0000 0.0000 0.0000 1
Ta1 0.2500 0.2500 0.2500 1
U1 0.7500 0.7500 0.7500 1
```

***

Below is a relaxed UTaB crystal, with properties calculated at the PBE-GGA level.

Calculated values
Its total energy is -9.974 eV per atom. Its total moment is 0.01 μB/cell. The space-group type is R-3m, No. 166.

The structure in CIF format:
```
data_UTaB
_symmetry_space_group_name_H-M 'P 1'
_symmetry_Int_Tables_number 1
_symmetry_space_group_name_Hall 'P 1'
_cell_length_a 8.7792
_cell_length_b 8.7792
_cell_length_c 8.7792
_cell_angle_alpha 23.59
_cell_angle_beta 23.59
_cell_angle_gamma 23.59
loop_
_atom_site_label
_atom_site_fract_x
_atom_site_fract_y
_atom_site_fract_z
_atom_site_occupancy
U1 0.6346 0.6346 0.6346 1
U2 0.3654 0.3654 0.3654 1
Ta1 0.8715 0.8715 0.8715 1
Ta2 0.1285 0.1285 0.1285 1
B1 0.2395 0.2395 0.2395 1
B2 0.7605 0.7605 0.7605 1
```

***

Below is a relaxed UTaB crystal, with properties calculated at the PBE-GGA level.

Calculated values
Its total energy is -8.342 eV per atom. Its total moment is 0.01 μB/cell. The space-group type is F-43m, No. 216.

The structure in CIF format:
```
data_UTaB
_symmetry_space_group_name_H-M 'P 1'
_symmetry_Int_Tables_number 1
_symmetry_space_group_name_Hall 'P 1'
_cell_length_a 4.2894
_cell_length_b 4.2894
_cell_length_c 4.2894
_cell_angle_alpha 60.00
_cell_angle_beta 60.00
_cell_angle_gamma 60.00
loop_
_atom_site_label
_atom_site_fract_x
_atom_site_fract_y
_atom_site_fract_z
_atom_site_occupancy
Ta1 0.7500 0.7500 0.7500 1
U1 0.0000 0.0000 0.0000 1
B1 0.2500 0.2500 0.2500 1
```